# CaScIn4O8, optimized geometry, DFT GGA-PBE
data_CaScIn4O8
_chemical_formula_sum 'Ca1 Sc1 In4 O8'
_cell_length_a 6.6277
_cell_length_b 6.6277
_cell_length_c 6.5871
_cell_angle_alpha 59.80
_cell_angle_beta 59.80
_cell_angle_gamma 60.00
_symmetry_space_group_name_H-M 'P 1'
_symmetry_Int_Tables_number 1
_symmetry_space_group_name_Hall 'P 1'
loop_
_atom_site_label
_atom_site_type_symbol
_atom_site_fract_x
_atom_site_fract_y
_atom_site_fract_z
_atom_site_occupancy
O1 O 0.7620 0.7620 0.7138 1
O2 O 0.2298 0.2298 0.7473 1
O3 O 0.7930 0.2298 0.7473 1
O4 O 0.2149 0.7652 0.2547 1
O5 O 0.2298 0.7930 0.7473 1
O6 O 0.2355 0.2355 0.2934 1
O7 O 0.7652 0.2149 0.2547 1
O8 O 0.7652 0.7652 0.2547 1
Sc1 Sc 0.0040 0.0040 0.9881 1
In1 In 0.6248 0.6248 0.1255 1
In2 In 0.4978 0.0011 0.5000 1
In3 In 0.0011 0.0011 0.5000 1
In4 In 0.0011 0.4978 0.5000 1
Ca1 Ca 0.3756 0.3756 0.8734 1
# Calculated total energy: -6.253 eV/atom
# D(E_F): 1.987 states/eV/f.u.
# V: 204.0 Å³/cell
# Magnetization: 0.00 μB/f.u.
# Energy relative to the elements, uncorrected: -2.042 eV/atom
# Crystal system: trigonal
# SG: R3m, No. 160